No. 1
First-principles (GGA-PBEsol) data for Sr2YTi2AlO7 after structural relaxation, as listed in Alexandria via LeMat-Bulk. Values from VASP.

```
&SYSTEM
  ibrav = 0, nat = 26, ntyp = 5
/
ATOMIC_SPECIES
O 16.00 O.upf
Sr 87.62 Sr.upf
Al 26.98 Al.upf
Ti 47.87 Ti.upf
Y 88.91 Y.upf
ATOMIC_POSITIONS angstrom
O -2.054 -0.803 -1.058
O -9.482 -1.521 2.209
O -4.680 0.509 -0.502
O -3.122 0.506 -3.198
O -9.091 0.939 3.505
O -8.012 -0.285 5.690
O -8.401 -2.729 4.402
O -6.231 -2.907 -0.860
O -4.632 -0.148 3.381
O -7.547 0.232 0.759
O -6.721 -2.935 1.940
O -3.475 -1.998 -4.417
O -3.854 -2.658 0.679
O -2.405 -3.292 -2.269
Sr -8.382 -1.817 -0.236
Sr -4.524 -1.444 -1.933
Sr -7.013 -0.820 3.095
Sr -3.155 -0.448 1.398
Al -5.490 -3.297 0.740
Al -6.148 1.150 0.220
Ti -1.568 -2.648 -0.621
Ti -9.189 -3.385 2.730
Ti -2.320 1.086 -1.510
Ti -9.940 0.349 1.842
Y -1.352 -1.263 -3.352
Y -2.105 2.466 -4.244
CELL_PARAMETERS angstrom
-2.149 2.518 -4.333
-0.644 -4.939 -2.550
-8.803 0.225 7.928
```

Computed properties:
For the formation energy from raw total energies, the calculation gives -2927.8 meV/atom. The value obtained for the theoretical density is 4.9 g/cm³. The value obtained for the calculated total energy is -212.09 eV per cell. Its volume is 341.35 Å³ per cell. As for the density of states at the Fermi level: 2.1 states/eV/f.u.

No. 2
First-principles (GGA-PBEsol) data for SrYAl3O7 after structural relaxation, as listed in Alexandria via LeMat-Bulk. Values from VASP.

```
&SYSTEM
  ibrav = 0, nat = 24, ntyp = 4
/
ATOMIC_SPECIES
O 16.00 O.upf
Al 26.98 Al.upf
Sr 87.62 Sr.upf
Y 88.91 Y.upf
ATOMIC_POSITIONS angstrom
O 1.058 0.724 2.671
O 1.533 2.816 4.865
O 4.136 6.440 3.232
O 1.533 4.803 2.921
O 1.058 2.655 0.781
O 1.058 4.964 7.005
O 4.136 3.091 6.509
O 3.574 6.377 6.517
O 0.778 0.000 0.000
O 3.574 1.242 1.269
O 4.048 3.810 3.893
O 4.136 1.179 4.555
O 4.136 4.528 1.277
O 1.058 6.896 5.115
Al 0.040 -0.079 3.888
Al 4.898 2.699 4.980
Al 0.040 3.888 0.006
Al 0.194 6.473 6.615
Al 4.898 4.920 2.806
Al 0.194 1.146 1.171
Sr 2.595 1.122 6.523
Sr 2.595 6.497 1.264
Y 2.451 2.602 2.659
Y 2.451 5.017 5.127
CELL_PARAMETERS angstrom
5.107 0.000 0.000
0.000 7.777 0.011
0.000 -0.158 7.775
```

Computed properties:
For the formation energy from raw total energies, the calculation gives -3172.3 meV/atom. The value obtained for the theoretical density is 4.0 g/cm³. The value obtained for the calculated total energy is -191.50 eV per cell. Its volume is 308.82 Å³ per cell. As for the density of states at the Fermi level: 0.0 states/eV/f.u.

No. 3
First-principles (GGA-PBEsol) data for Tb4Al2O9 after structural relaxation, as listed in Alexandria via LeMat-Bulk. Values from VASP.

```
&SYSTEM
  ibrav = 0, nat = 60, ntyp = 3
/
ATOMIC_SPECIES
O 16.00 O.upf
Tb 158.93 Tb.upf
Al 26.98 Al.upf
ATOMIC_POSITIONS angstrom
O 1.046 7.945 9.330
O 1.297 2.422 10.126
O 0.672 8.053 2.661
O -2.942 2.470 10.309
O 4.646 0.073 6.386
O 1.025 0.200 1.626
O 4.579 5.444 3.644
O 1.067 10.402 6.394
O 0.754 2.772 2.829
O 1.043 5.482 3.493
O 1.008 2.702 6.477
O -1.022 2.471 8.098
O -1.103 7.677 7.931
O 2.532 8.065 0.412
O 4.932 2.810 2.608
O 0.986 5.158 9.413
O -0.732 10.249 8.762
O -1.167 2.773 5.040
O 2.783 2.542 1.208
O 6.422 5.171 1.117
O 3.075 7.715 7.709
O 3.157 2.434 7.877
O 4.996 7.714 5.498
O 2.804 10.287 8.913
O 0.756 7.666 5.681
O 2.821 7.785 4.061
O -0.817 10.414 4.152
O -2.593 5.316 9.421
O 2.843 5.329 1.125
O 4.851 8.016 2.440
O 3.073 2.821 4.857
O 6.771 8.017 0.229
O 4.561 0.238 1.776
O 2.786 5.005 7.045
O 2.762 0.085 4.144
O -0.750 5.043 6.895
Tb 1.078 1.147 8.261
Tb 2.885 9.167 5.941
Tb 0.944 1.320 4.597
Tb 6.524 9.503 2.035
Tb -0.920 4.260 3.234
Tb -2.695 0.984 8.503
Tb 2.751 9.340 2.277
Tb 0.975 6.390 7.546
Tb -0.832 3.924 9.866
Tb -0.876 9.235 6.205
Tb 0.900 6.496 0.936
Tb 4.661 6.563 0.672
Tb 4.749 6.227 7.304
Tb 2.854 4.097 2.992
Tb 4.705 1.252 4.333
Tb 2.929 3.991 9.603
Al 2.650 3.351 6.469
Al -0.597 8.595 9.338
Al 4.462 7.154 3.932
Al 1.179 7.136 4.069
Al -0.633 3.333 6.606
Al 2.687 8.577 9.201
Al 4.425 1.892 1.200
Al 1.142 1.910 1.337
CELL_PARAMETERS angstrom
7.380 0.000 0.000
0.000 10.487 0.000
-3.551 0.000 10.538
```

Computed properties:
For the formation energy from raw total energies, the calculation gives -3427.2 meV/atom. The value obtained for the theoretical density is 6.8 g/cm³. The value obtained for the calculated total energy is -507.50 eV per cell. Its volume is 815.59 Å³ per cell. As for the density of states at the Fermi level: 0.0 states/eV/f.u.

No. 4
First-principles (GGA-PBEsol) data for AlTeO2 after structural relaxation, as listed in Alexandria via LeMat-Bulk. Values from VASP.

```
&SYSTEM
  ibrav = 0, nat = 8, ntyp = 3
/
ATOMIC_SPECIES
O 16.00 O.upf
Te 127.60 Te.upf
Al 26.98 Al.upf
ATOMIC_POSITIONS angstrom
O 0.507 4.771 1.646
O 3.901 2.537 2.088
O 1.300 2.006 1.225
O -0.507 6.134 3.861
Te 0.000 0.000 0.000
Te 2.601 4.543 3.312
Al 0.000 3.181 1.097
Al 2.601 1.362 2.215
CELL_PARAMETERS angstrom
5.201 0.000 0.000
-2.601 5.000 -0.021
0.000 2.724 4.431
```

Computed properties:
For the formation energy from raw total energies, the calculation gives -1616.5 meV/atom. The value obtained for the theoretical density is 5.4 g/cm³. The value obtained for the calculated total energy is -49.16 eV per cell. Its volume is 115.52 Å³ per cell. As for the density of states at the Fermi level: 1.2 states/eV/f.u.

No. 5
First-principles (GGA-PBEsol) data for Al3TeO after structural relaxation, as listed in Alexandria via LeMat-Bulk. Values from VASP.

```
&SYSTEM
  ibrav = 0, nat = 5, ntyp = 3
/
ATOMIC_SPECIES
Al 26.98 Al.upf
Te 127.60 Te.upf
O 16.00 O.upf
ATOMIC_POSITIONS angstrom
Al 0.803 -0.375 -2.022
Al -1.007 -1.964 -0.036
Al 1.793 -0.936 0.885
Te 1.588 -3.275 -1.173
O 0.000 0.000 0.000
CELL_PARAMETERS angstrom
-2.015 -3.928 -0.072
1.606 -0.749 -4.044
3.585 -1.872 1.771
```

Computed properties:
For the formation energy from raw total energies, the calculation gives -281.8 meV/atom. The value obtained for the theoretical density is 4.3 g/cm³. The value obtained for the calculated total energy is -22.46 eV per cell. Its volume is 86.07 Å³ per cell. As for the density of states at the Fermi level: 2.1 states/eV/f.u.

No. 6
First-principles (GGA-PBEsol) data for Y2AlTeO after structural relaxation, as listed in Alexandria via LeMat-Bulk. Values from VASP.

```
&SYSTEM
  ibrav = 0, nat = 5, ntyp = 4
/
ATOMIC_SPECIES
Y 88.91 Y.upf
O 16.00 O.upf
Te 127.60 Te.upf
Al 26.98 Al.upf
ATOMIC_POSITIONS angstrom
Y -1.738 2.007 0.518
Y 0.261 -0.459 2.653
O -3.330 -0.032 3.080
Te -1.853 -1.581 -0.091
Al 0.000 0.000 0.000
CELL_PARAMETERS angstrom
-3.706 -3.162 -0.182
0.522 -0.918 5.307
-3.476 4.015 1.036
```

Computed properties:
For the formation energy from raw total energies, the calculation gives 361.0 meV/atom. The value obtained for the theoretical density is 4.1 g/cm³. The value obtained for the calculated total energy is -24.71 eV per cell. Its volume is 142.72 Å³ per cell. As for the density of states at the Fermi level: 3.0 states/eV/f.u.

No. 7
First-principles (GGA-PBEsol) data for TiAlO3 after structural relaxation, as listed in Alexandria via LeMat-Bulk. Values from VASP.

```
&SYSTEM
  ibrav = 0, nat = 10, ntyp = 3
/
ATOMIC_SPECIES
O 16.00 O.upf
Ti 47.87 Ti.upf
Al 26.98 Al.upf
ATOMIC_POSITIONS angstrom
O -1.412 -5.401 2.483
O -2.741 -5.687 4.910
O -4.035 -2.961 4.522
O -2.706 -2.676 2.095
O -1.023 -3.271 4.229
O -4.424 -5.092 2.776
Ti -2.958 -4.577 1.507
Ti -2.488 -3.786 5.498
Al -1.207 -1.830 3.067
Al -4.240 -6.533 3.937
CELL_PARAMETERS angstrom
-4.297 -2.145 0.931
-0.182 -4.791 0.971
-0.967 -1.426 5.102
```

Computed properties:
For the formation energy from raw total energies, the calculation gives -2939.8 meV/atom. The value obtained for the theoretical density is 4.3 g/cm³. The value obtained for the calculated total energy is -85.72 eV per cell. Its volume is 95.04 Å³ per cell. As for the density of states at the Fermi level: 2.1 states/eV/f.u.